# Ca5Pr3Bi12 (PBE, relaxed)
data_Ca5Pr3Bi12
_cell_length_a 16.430
_cell_length_b 16.430
_cell_length_c 16.430
_cell_angle_alpha 109.47
_cell_angle_beta 109.47
_cell_angle_gamma 109.47
_symmetry_space_group_name_H-M 'P 1'
_symmetry_Int_Tables_number 1
loop_
_symmetry_equiv_pos_as_xyz
'x,y,z'
loop_
_atom_site_label
_atom_site_type_symbol
_atom_site_fract_x
_atom_site_fract_y
_atom_site_fract_z
Ca1 Ca 0.000 0.000 0.000
Ca2 Ca 0.000 0.000 0.500
Ca3 Ca 0.000 0.500 0.000
Ca4 Ca 0.000 0.500 0.500
Ca5 Ca 0.125 0.750 0.875
Ca6 Ca 0.125 0.875 0.250
Ca7 Ca 0.250 0.125 0.875
Ca8 Ca 0.250 0.625 0.375
Ca9 Ca 0.375 0.250 0.625
Ca10 Ca 0.375 0.625 0.750
Ca11 Ca 0.500 0.000 0.000
Ca12 Ca 0.500 0.000 0.500
Ca13 Ca 0.500 0.500 0.000
Ca14 Ca 0.500 0.500 0.500
Ca15 Ca 0.625 0.375 0.250
Ca16 Ca 0.625 0.750 0.375
Ca17 Ca 0.750 0.375 0.625
Ca18 Ca 0.750 0.875 0.125
Ca19 Ca 0.875 0.125 0.750
Ca20 Ca 0.875 0.250 0.125
Pr1 Pr 0.125 0.250 0.375
Pr2 Pr 0.125 0.375 0.750
Pr3 Pr 0.250 0.375 0.125
Pr4 Pr 0.250 0.875 0.625
Pr5 Pr 0.375 0.125 0.250
Pr6 Pr 0.375 0.750 0.125
Pr7 Pr 0.625 0.250 0.875
Pr8 Pr 0.625 0.875 0.750
Pr9 Pr 0.750 0.125 0.375
Pr10 Pr 0.750 0.625 0.875
Pr11 Pr 0.875 0.625 0.250
Pr12 Pr 0.875 0.750 0.625
Bi1 Bi 0.076 0.245 0.152
Bi2 Bi 0.076 0.331 0.924
Bi3 Bi 0.076 0.652 0.407
Bi4 Bi 0.076 0.924 0.669
Bi5 Bi 0.093 0.745 0.669
Bi6 Bi 0.093 0.848 0.424
Bi7 Bi 0.152 0.076 0.245
Bi8 Bi 0.152 0.576 0.907
Bi9 Bi 0.169 0.245 0.593
Bi10 Bi 0.169 0.424 0.576
Bi11 Bi 0.245 0.152 0.076
Bi12 Bi 0.245 0.593 0.169
Bi13 Bi 0.255 0.331 0.907
Bi14 Bi 0.255 0.424 0.348
Bi15 Bi 0.331 0.907 0.255
Bi16 Bi 0.331 0.924 0.076
Bi17 Bi 0.348 0.255 0.424
Bi18 Bi 0.348 0.593 0.924
Bi19 Bi 0.407 0.076 0.652
Bi20 Bi 0.407 0.831 0.755
Bi21 Bi 0.424 0.093 0.848
Bi22 Bi 0.424 0.348 0.255
Bi23 Bi 0.424 0.576 0.169
Bi24 Bi 0.424 0.831 0.576
Bi25 Bi 0.576 0.169 0.424
Bi26 Bi 0.576 0.424 0.831
Bi27 Bi 0.576 0.652 0.745
Bi28 Bi 0.576 0.907 0.152
Bi29 Bi 0.593 0.169 0.245
Bi30 Bi 0.593 0.924 0.348
Bi31 Bi 0.652 0.407 0.076
Bi32 Bi 0.652 0.745 0.576
Bi33 Bi 0.669 0.076 0.924
Bi34 Bi 0.669 0.093 0.745
Bi35 Bi 0.745 0.576 0.652
Bi36 Bi 0.745 0.669 0.093
Bi37 Bi 0.755 0.407 0.831
Bi38 Bi 0.755 0.848 0.924
Bi39 Bi 0.831 0.576 0.424
Bi40 Bi 0.831 0.755 0.407
Bi41 Bi 0.848 0.424 0.093
Bi42 Bi 0.848 0.924 0.755
Bi43 Bi 0.907 0.152 0.576
Bi44 Bi 0.907 0.255 0.331
Bi45 Bi 0.924 0.076 0.331
Bi46 Bi 0.924 0.348 0.593
Bi47 Bi 0.924 0.669 0.076
Bi48 Bi 0.924 0.755 0.848
# crystal system = cubic
# energy of formation from the pure elements = -6.00 eV/f.u.
# symmetry = No. 230